VASP calculation (PBE with a Hubbard U) on crystalline TiCdMoF2 at its relaxed geometry.

Unit cell a=4.0360 b=4.0360 c=6.1591 alpha=90.00 beta=90.00 gamma=90.00
Atoms (fractional coordinates):
1 Ti 0.0000 0.0000 0.0000
2 Cd 0.5000 0.5000 0.5000
3 Mo 0.0000 0.0000 0.5000
4 F 0.0000 0.5000 0.0000
5 F 0.5000 0.0000 0.0000

Calculated values
The calculation puts the final energy at -24.88 eV/cell.